[1]
# Al2TlPb, relaxed, DFT GGA-PBEsol
data_Al2TlPb
_chemical_formula_sum 'Al2 Tl1 Pb1'
_cell_length_a 3.252
_cell_length_b 4.478
_cell_length_c 6.483
_cell_angle_alpha 90.00
_cell_angle_beta 93.80
_cell_angle_gamma 90.00
_symmetry_space_group_name_H-M 'P 1 2/m 1'
_symmetry_Int_Tables_number 10
_symmetry_space_group_name_Hall '-P 2y'
loop_
_atom_site_label
_atom_site_fract_x
_atom_site_fract_y
_atom_site_fract_z
Al1 0.001 0.000 0.263
Tl1 0.500 0.500 0.500
Pb1 0.500 0.500 0.000
# E_tot: -3.422 eV/atom
# Energy of formation: 0.281 eV per atom

***

[2]
# Al2PbW, relaxed, DFT GGA-PBEsol
data_Al2PbW
_chemical_formula_sum 'Al2 Pb1 W1'
_cell_length_a 2.970
_cell_length_b 2.970
_cell_length_c 8.631
_cell_angle_alpha 90.00
_cell_angle_beta 90.00
_cell_angle_gamma 90.00
_symmetry_space_group_name_H-M 'P 4/m m m'
_symmetry_Int_Tables_number 123
_symmetry_space_group_name_Hall '-P 4 2'
loop_
_atom_site_label
_atom_site_fract_x
_atom_site_fract_y
_atom_site_fract_z
Al1 0.000 0.000 0.201
Pb1 0.500 0.500 0.500
W1 0.500 0.500 0.000
# E_tot: -6.168 eV/atom
# Energy of formation: 0.330 eV per atom
# Energy above the lowest structure with this stoichiometry: 0.0 meV per atom

***

[3]
# AlPb2W, relaxed, DFT GGA-PBEsol
data_AlPb2W
_chemical_formula_sum 'Al2 Pb4 W2'
_cell_length_a 6.074
_cell_length_b 10.308
_cell_length_c 3.068
_cell_angle_alpha 90.00
_cell_angle_beta 117.93
_cell_angle_gamma 90.00
_symmetry_space_group_name_H-M 'C 1 2/m 1'
_symmetry_Int_Tables_number 12
_symmetry_space_group_name_Hall '-C 2y'
loop_
_atom_site_label
_atom_site_fract_x
_atom_site_fract_y
_atom_site_fract_z
Al1 0.000 0.000 0.000
Pb1 0.250 0.250 0.000
W1 0.000 0.500 0.000
# E_tot: -5.558 eV/atom
# Energy of formation: 0.916 eV per atom
# Energy above the lowest structure with this stoichiometry: 440.2 meV per atom

***

[4]
# AlPb2W, relaxed, DFT GGA-PBEsol
data_AlPb2W
_chemical_formula_sum 'Al1 Pb2 W1'
_cell_length_a 3.027
_cell_length_b 3.462
_cell_length_c 8.545
_cell_angle_alpha 90.00
_cell_angle_beta 90.00
_cell_angle_gamma 90.00
_symmetry_space_group_name_H-M 'P m m 2'
_symmetry_Int_Tables_number 25
_symmetry_space_group_name_Hall 'P 2 -2'
loop_
_atom_site_label
_atom_site_fract_x
_atom_site_fract_y
_atom_site_fract_z
Al1 0.000 0.000 0.000
Pb1 0.000 0.000 0.612
Pb2 0.500 0.500 0.252
W1 0.500 0.500 0.850
# E_tot: -5.998 eV/atom
# Energy of formation: 0.476 eV per atom
# Energy above the lowest structure with this stoichiometry: 0.0 meV per atom

***

[5]
# Al2PbW, relaxed, DFT GGA-PBEsol
data_Al2PbW
_chemical_formula_sum 'Al6 Pb3 W3'
_cell_length_a 2.9579
_cell_length_b 2.9579
_cell_length_c 30.8629
_cell_angle_alpha 90.00
_cell_angle_beta 90.00
_cell_angle_gamma 120.00
_symmetry_space_group_name_H-M 'R 3 m'
_symmetry_Int_Tables_number 160
_symmetry_space_group_name_Hall 'R 3 -2"'
loop_
_atom_site_label
_atom_site_fract_x
_atom_site_fract_y
_atom_site_fract_z
Al1 0.0000 0.0000 0.0000
Al2 0.0000 0.0000 0.2585
Pb1 0.0000 0.0000 0.7730
W1 0.0000 0.0000 0.5228
# E_tot: -6.030 eV/atom
# Energy of formation: 0.467 eV per atom
# Energy above the lowest structure with this stoichiometry: 137.7 meV per atom

***

[6]
# AlPb2W, relaxed, DFT GGA-PBEsol
data_AlPb2W
_chemical_formula_sum 'Al1 Pb2 W1'
_cell_length_a 3.061
_cell_length_b 4.910
_cell_length_c 5.864
_cell_angle_alpha 90.00
_cell_angle_beta 101.27
_cell_angle_gamma 90.00
_symmetry_space_group_name_H-M 'P 1 2/m 1'
_symmetry_Int_Tables_number 10
_symmetry_space_group_name_Hall '-P 2y'
loop_
_atom_site_label
_atom_site_fract_x
_atom_site_fract_y
_atom_site_fract_z
Al1 0.000 0.000 0.000
Pb1 0.372 0.500 0.742
W1 0.000 0.000 0.500
# E_tot: -5.597 eV/atom
# Energy of formation: 0.877 eV per atom
# Energy above the lowest structure with this stoichiometry: 400.8 meV per atom

***

[7]
# Al2PbW, relaxed, DFT GGA-PBEsol
data_Al2PbW
_chemical_formula_sum 'Al2 Pb1 W1'
_cell_length_a 2.992
_cell_length_b 3.822
_cell_length_c 6.525
_cell_angle_alpha 90.00
_cell_angle_beta 90.00
_cell_angle_gamma 90.00
_symmetry_space_group_name_H-M 'P m m 2'
_symmetry_Int_Tables_number 25
_symmetry_space_group_name_Hall 'P 2 -2'
loop_
_atom_site_label
_atom_site_fract_x
_atom_site_fract_y
_atom_site_fract_z
Al1 0.000 0.000 0.000
Al2 0.500 0.500 0.226
Pb1 0.000 0.000 0.529
W1 0.500 0.500 0.826
# E_tot: -6.034 eV/atom
# Energy of formation: 0.463 eV per atom
# Energy above the lowest structure with this stoichiometry: 133.8 meV per atom

***

[8]
# AlPb2W, relaxed, DFT GGA-PBEsol
data_AlPb2W
_chemical_formula_sum 'Al2 Pb4 W2'
_cell_length_a 4.276
_cell_length_b 4.276
_cell_length_c 9.172
_cell_angle_alpha 90.00
_cell_angle_beta 90.00
_cell_angle_gamma 90.00
_symmetry_space_group_name_H-M 'I -4 m 2'
_symmetry_Int_Tables_number 119
_symmetry_space_group_name_Hall 'I -4 -2'
loop_
_atom_site_label
_atom_site_fract_x
_atom_site_fract_y
_atom_site_fract_z
Al1 0.000 0.000 0.000
Pb1 0.000 0.000 0.500
Pb2 0.000 0.500 0.250
W1 0.000 0.500 0.750
# E_tot: -5.529 eV/atom
# Energy of formation: 0.945 eV per atom
# Energy above the lowest structure with this stoichiometry: 468.6 meV per atom